Record 1
PBE-GGA Pu3Zn2Ga3, relaxed; calculated total energy = -7.0494 eV per atom; calculated volume = 20.293 Å³/atom; density of states at the Fermi level = 22.209 states/eV per cell; space group = C2/m; calculated formation energy = -21 kJ per mole of atoms
1.0
8.5320 -2.1804 0.0000
8.5320 2.1804 0.0000
-1.1863 0.0000 4.3634
Pu Zn Ga
3 2 3
direct
0.0000 0.0000 0.0000
0.1279 0.1279 0.6285
0.8721 0.8721 0.3715
0.2467 0.2467 0.2465
0.7533 0.7533 0.7535
0.3527 0.3527 0.8519
0.5000 0.5000 0.5000
0.6473 0.6473 0.1481



Record 2
PBE-GGA PuZn2Ga, relaxed; calculated total energy = -5.0591 eV per atom; calculated volume = 19.970 Å³/atom; density of states at the Fermi level = 10.312 states/eV per cell; space group = P4/mmm; calculated formation energy = -8 kJ per mole of atoms
1.0
4.2382 0.0000 0.0000
0.0000 4.2382 0.0000
0.0000 0.0000 4.4472
Pu Zn Ga
1 2 1
direct
0.0000 0.0000 0.0000
0.0000 0.5000 0.5000
0.5000 0.0000 0.5000
0.5000 0.5000 0.0000



Record 3
PBE-GGA Pu2ZnGa7, relaxed; calculated total energy = -5.3909 eV per atom; calculated volume = 19.361 Å³/atom; density of states at the Fermi level = 22.432 states/eV per cell; space group = P-4m2; calculated formation energy = -27 kJ per mole of atoms
1.0
4.2249 0.0000 0.0000
0.0000 4.2249 0.0000
0.0000 0.0000 10.8469
Pu Zn Ga
2 1 7
direct
0.0000 0.5000 0.2486
0.5000 0.0000 0.7514
0.0000 0.0000 0.5000
0.0000 0.0000 0.0000
0.0000 0.5000 0.6348
0.0000 0.5000 0.8604
0.5000 0.0000 0.1396
0.5000 0.0000 0.3652
0.5000 0.5000 0.0000
0.5000 0.5000 0.5000



Record 4
PBE-GGA Pu3ZnGa2, relaxed; calculated total energy = -8.6128 eV per atom; calculated volume = 21.136 Å³/atom; density of states at the Fermi level = 13.026 states/eV per cell; space group = P4/mmm; calculated formation energy = -22 kJ per mole of atoms
1.0
3.0547 0.0000 0.0000
0.0000 3.0547 0.0000
0.0000 0.0000 13.5902
Pu Zn Ga
3 1 2
direct
0.0000 0.0000 0.0000
0.0000 0.0000 0.3335
0.0000 0.0000 0.6665
0.5000 0.5000 0.5000
0.5000 0.5000 0.1670
0.5000 0.5000 0.8330



Record 5
PBE-GGA PuZnGa2, relaxed; calculated total energy = -5.6971 eV per atom; calculated volume = 19.312 Å³/atom; density of states at the Fermi level = 32.356 states/eV per cell; space group = Pnma; calculated formation energy = -27 kJ per mole of atoms
1.0
6.6088 0.0000 0.0000
0.0000 4.5376 0.0000
0.0000 0.0000 10.3040
Pu Zn Ga
4 4 8
direct
0.2317 0.2500 0.1555
0.2683 0.7500 0.6555
0.7317 0.2500 0.3445
0.7683 0.7500 0.8445
0.0419 0.7500 0.3796
0.4581 0.2500 0.8796
0.5419 0.7500 0.1204
0.9581 0.2500 0.6204
0.0672 0.2500 0.8581
0.2438 0.7500 0.9505
0.2562 0.2500 0.4505
0.4328 0.7500 0.3581
0.5672 0.2500 0.6419
0.7438 0.7500 0.5495
0.7562 0.2500 0.0495
0.9328 0.7500 0.1419



Record 6
PBE-GGA Pu3Zn6Ga5, relaxed; calculated total energy = -4.9423 eV per atom; calculated volume = 18.651 Å³/atom; density of states at the Fermi level = 66.941 states/eV per cell; space group = Pmmn; calculated formation energy = -24 kJ per mole of atoms
1.0
4.3663 0.0000 0.0000
0.0000 12.7009 0.0000
0.0000 0.0000 9.4169
Pu Zn Ga
6 12 10
direct
0.2500 0.0509 0.2495
0.2500 0.4491 0.2495
0.2500 0.7500 0.2480
0.7500 0.2500 0.7520
0.7500 0.5509 0.7505
0.7500 0.9491 0.7505
0.2500 0.0914 0.6117
0.2500 0.2500 0.0529
0.2500 0.2500 0.4439
0.2500 0.4086 0.6117
0.2500 0.6025 0.9757
0.2500 0.8975 0.9757
0.7500 0.1025 0.0243
0.7500 0.3975 0.0243
0.7500 0.5914 0.3883
0.7500 0.7500 0.5561
0.7500 0.7500 0.9471
0.7500 0.9086 0.3883
0.2500 0.0939 0.8785
0.2500 0.4061 0.8785
0.2500 0.6100 0.5289
0.2500 0.7500 0.7606
0.2500 0.8900 0.5289
0.7500 0.1100 0.4711
0.7500 0.2500 0.2394
0.7500 0.3900 0.4711
0.7500 0.5939 0.1215
0.7500 0.9061 0.1215